1.
BiPd7Au2 after structural relaxation, computed with PBE-GGA.

* final energy: -4.3548 eV/atom
* density: 10.26 Mg/m³
* SG: No. 65
* density of states at the Fermi level: 1.24 states/eV per atom
* V: 218.2 Å³ per cell

a = 7.6604 Å, b = 7.6604 Å, c = 4.4171 Å
α = 90.00°, β = 90.00°, γ = 122.68°
Atoms (fractional coordinates):
Bi  0.0000  0.0000  0.0000
Pd  0.0762  0.2862  0.5000
Pd  0.1950  0.8050  0.0000
Pd  0.2862  0.0762  0.5000
Pd  0.5000  0.5000  0.5000
Pd  0.7138  0.9238  0.5000
Pd  0.8050  0.1950  0.0000
Pd  0.9238  0.7138  0.5000
Au  0.3007  0.6993  0.5000
Au  0.6993  0.3007  0.5000

***

2.
Bi3Pd3Au after structural relaxation, computed with PBE-GGA.

* final energy: -4.5468 eV/atom
* density: 12.42 Mg/m³
* SG: No. 12
* density of states at the Fermi level: 0.49 states/eV per atom
* V: 305.7 Å³ per cell
* energy above the most stable polymorph in this dataset: 0.0 meV/atom

a = 6.0682 Å, b = 6.0682 Å, c = 8.9227 Å
α = 90.51°, β = 90.51°, γ = 111.49°
Atoms (fractional coordinates):
Bi  0.1638  0.8362  0.0000
Bi  0.2168  0.7832  0.5000
Bi  0.4580  0.4580  0.8061
Bi  0.5420  0.5420  0.1939
Bi  0.7832  0.2168  0.5000
Bi  0.8362  0.1638  0.0000
Pd  0.0357  0.4889  0.2330
Pd  0.0583  0.0583  0.7277
Pd  0.4889  0.0357  0.2330
Pd  0.5111  0.9643  0.7670
Pd  0.9417  0.9417  0.2723
Pd  0.9643  0.5111  0.7670
Au  0.2946  0.2946  0.4556
Au  0.7054  0.7054  0.5444

***

3.
BiPd4Au4 after structural relaxation, computed with PBE-GGA.

* final energy: -4.3121 eV/atom
* density: 14.85 Mg/m³
* SG: No. 139
* density of states at the Fermi level: 0.42 states/eV per atom
* V: 159.0 Å³ per cell

a = 6.5700 Å, b = 6.5700 Å, c = 6.5700 Å
α = 95.52°, β = 95.52°, γ = 143.85°
Atoms (fractional coordinates):
Bi  0.0000  0.0000  0.0000
Pd  0.3310  0.3310  0.6620
Pd  0.3310  0.6690  0.0000
Pd  0.6690  0.3310  0.0000
Pd  0.6690  0.6690  0.3380
Au  0.0000  0.3355  0.3355
Au  0.0000  0.6645  0.6645
Au  0.3355  0.0000  0.3355
Au  0.6645  0.0000  0.6645

***

4.
BiPd5Au6 after structural relaxation, computed with PBE-GGA.

* final energy: -4.2110 eV/atom
* density: 15.09 Mg/m³
* SG: No. 65
* density of states at the Fermi level: 0.45 states/eV per atom
* V: 211.6 Å³ per cell
* energy above the most stable polymorph in this dataset: 11.2 meV/atom

a = 6.5059 Å, b = 6.5059 Å, c = 8.2744 Å
α = 90.00°, β = 90.00°, γ = 142.83°
Atoms (fractional coordinates):
Bi  0.0000  0.0000  0.0000
Pd  0.0000  0.0000  0.5000
Pd  0.3325  0.6675  0.0000
Pd  0.3328  0.6672  0.5000
Pd  0.6675  0.3325  0.0000
Pd  0.6672  0.3328  0.5000
Au  0.1700  0.8300  0.2594
Au  0.1700  0.8300  0.7406
Au  0.5000  0.5000  0.2687
Au  0.5000  0.5000  0.7313
Au  0.8300  0.1700  0.2594
Au  0.8300  0.1700  0.7406

***

What is the V in the second record?
305.7 Å³ per cell

***

density of states at the Fermi level of number 1 (BiPd7Au2)?
1.24 states/eV per atom